Density functional theory data (GGA-PBEsol) for MgSeBr2 after structural relaxation.

The structure in CIF format:
```
data_MgSeBr2
_chemical_formula_sum 'Mg1 Se1 Br2'
_symmetry_space_group_name_H-M 'P 4 m m'
_symmetry_Int_Tables_number 99
_cell_length_a 3.856
_cell_length_b 3.856
_cell_length_c 7.729
_cell_angle_alpha 90.00
_cell_angle_beta 90.00
_cell_angle_gamma 90.00
loop_
_symmetry_equiv_pos_as_xyz
'x,y,z'
'-y,x,z'
'-x,-y,z'
'y,-x,z'
'-x,y,z'
'y,x,z'
'x,-y,z'
'-y,-x,z'
loop_
_atom_site_label
_atom_site_type_symbol
_atom_site_fract_x
_atom_site_fract_y
_atom_site_fract_z
Mg1 Mg 0.000 0.000 0.000
Se1 Se 0.500 0.500 0.933
Br1 Br 0.000 0.000 0.306
Br2 Br 0.500 0.500 0.626
```

**Formation energy (no corrections)**: -0.6049 eV per atom